Density functional theory data (PBE) for a relaxed TbEr2Tm4Mg crystal.

Cell lengths 12.0141, 3.6294, 11.3851 Å; angles 90.00, 107.29, 90.00 degrees
Space group C2/m (No. 12)
Symmetry-distinct sites (fractional):
Tb (0.0000, 0.0000, 0.0000)
Er (0.0245, 0.5000, 0.2738)
Tm (0.2185, 0.5000, 0.6088)
Tm (0.2362, 0.0000, 0.8667)
Mg (0.0000, 0.0000, 0.5000)

Computed properties:
E	-66.1	eV/cell
N(E_F)	10.15	states/eV/f.u.
total magnetization	0.00	μB per cell
energy of formation	0.020	eV/atom



Density functional theory data (PBE) for a relaxed Tb2ErTm2Mg2 crystal.

Cell lengths 5.4066, 5.4066, 23.8227 Å; angles 90.00, 90.00, 120.00 degrees
Space group R-3m (No. 166, hexagonal axes)
Symmetry-distinct sites (fractional):
Tb (0.0000, 0.0000, 0.0736)
Er (0.0000, 0.0000, 0.5000)
Tm (0.0000, 0.0000, 0.3463)
Mg (0.0000, 0.0000, 0.2116)

Computed properties:
E	-78.2	eV/cell
N(E_F)	9.20	states/eV/f.u.
total magnetization	0.00	μB per cell
energy of formation	-0.016	eV/atom